No. 1
Ag3BBr after structural relaxation, computed with PBE-GGA.

Lattice parameters (Å, degrees): 4.5452 4.5452 4.5452 90.00 90.00 90.00
Each line ends with the local moment (μB).
Sites, in units of the cell vectors:
Ag  0.0000  0.0000  0.5000  0.09
Ag  0.5000  0.0000  0.0000  0.12
Ag  0.0000  0.5000  0.0000  0.10
B  0.0000  0.0000  0.0000  0.23
Br  0.5000  0.5000  0.5000  0.07

Computed properties:
Raw formation energy: 606 meV/atom

No. 2
AgB3Br after structural relaxation, computed with PBE-GGA.

Lattice parameters (Å, degrees): 4.1838 4.1838 4.1838 90.00 90.00 90.00
Sites, in units of the cell vectors:
B  0.5000  0.0000  0.0000
B  0.0000  0.5000  0.0000
B  0.0000  0.0000  0.5000
Ag  0.5000  0.5000  0.5000
Br  0.0000  0.0000  0.0000

Computed properties:
Raw formation energy: 2532 meV/atom

No. 3
Ag3BBr6 after structural relaxation, computed with PBE-GGA.

Lattice parameters (Å, degrees): 7.5044 9.5526 9.5526 112.72 90.00 90.00
Sites, in units of the cell vectors:
Br  0.6753  0.5523  0.1296
Br  0.3266  0.1274  0.8726
Br  0.5842  0.2719  0.3566
Br  0.1753  0.4477  0.8704
Br  0.5842  0.6434  0.7281
Br  0.1753  0.1296  0.5523
Br  0.0842  0.3566  0.2719
Br  0.6753  0.8704  0.4477
Br  0.3858  0.8313  0.1687
Br  0.0842  0.7281  0.6434
Br  0.8858  0.1687  0.8313
Br  0.8266  0.8726  0.1274
Ag  0.4015  0.3844  0.1586
Ag  0.8239  0.5106  0.4894
Ag  0.4015  0.8414  0.6156
Ag  0.3239  0.4894  0.5106
Ag  0.9015  0.1586  0.3844
Ag  0.9015  0.6156  0.8414
B  0.1269  0.2176  0.7824
B  0.6269  0.7824  0.2176

Computed properties:
Raw formation energy: -335 meV/atom

No. 4
AgBBr2 after structural relaxation, computed with PBE-GGA.

Lattice parameters (Å, degrees): 10.4228 10.4228 10.4228 18.18 18.18 18.18
Sites, in units of the cell vectors:
Ag  0.0000  0.0000  0.0000
Br  0.1208  0.1208  0.1208
Br  0.8792  0.8792  0.8792
B  0.5000  0.5000  0.5000

Computed properties:
Raw formation energy: 784 meV/atom

No. 5
AgB2CBr after structural relaxation, computed with PBE-GGA.

Lattice parameters (Å, degrees): 4.0530 6.3801 4.0530 90.00 90.00 90.00
Each line ends with the local moment (μB).
Sites, in units of the cell vectors:
B  0.5000  0.0000  0.0000  -0.01
B  0.0000  0.0000  0.5000  -0.02
Br  0.0000  0.5000  0.0000  -0.05
Ag  0.0000  0.0000  0.0000  0.00
C  0.5000  0.5000  0.5000  0.72

Computed properties:
Raw formation energy: 2599 meV/atom

No. 6
AgB11H6CBr6 after structural relaxation, computed with PBE-GGA.

Lattice parameters (Å, degrees): 11.7207 12.0513 13.9859 90.00 90.00 90.00
Sites, in units of the cell vectors:
H  0.2500  0.3230  0.7400
H  0.0449  0.8861  0.6476
H  0.9551  0.1139  0.3524
H  0.2500  0.8230  0.7600
H  0.8766  0.0107  0.5338
H  0.3766  0.4893  0.0338
H  0.7500  0.6770  0.2600
H  0.6234  0.0107  0.5338
H  0.7500  0.4928  0.1368
H  0.9551  0.6139  0.1476
H  0.0449  0.3861  0.8524
H  0.7500  0.9928  0.3632
H  0.8766  0.5107  0.9662
H  0.2500  0.5072  0.8632
H  0.6234  0.5107  0.9662
H  0.7500  0.1770  0.2400
H  0.1234  0.4893  0.0338
H  0.4551  0.8861  0.6476
H  0.1234  0.9893  0.4662
H  0.5449  0.1139  0.3524
H  0.2500  0.0072  0.6368
H  0.5449  0.6139  0.1476
H  0.4551  0.3861  0.8524
H  0.3766  0.9893  0.4662
B  0.3258  0.9129  0.4990
B  0.8262  0.2884  0.3901
B  0.1268  0.7733  0.5005
B  0.1738  0.2116  0.8901
B  0.7500  0.6866  0.1755
B  0.7500  0.6885  0.9316
B  0.2500  0.1859  0.9990
B  0.3732  0.2733  0.9995
B  0.8262  0.7884  0.1099
B  0.8258  0.5871  0.9990
B  0.6268  0.7267  0.0005
B  0.6272  0.1485  0.3920
B  0.3728  0.8515  0.6080
B  0.1268  0.2733  0.9995
B  0.1738  0.7116  0.6099
B  0.2500  0.6859  0.5010
B  0.7500  0.1885  0.5684
B  0.6738  0.7884  0.1099
B  0.2500  0.3134  0.8245
B  0.3258  0.4129  0.0010
B  0.7500  0.1866  0.3245
B  0.2500  0.8134  0.6755
B  0.6268  0.2267  0.4995
B  0.3262  0.2116  0.8901
B  0.3262  0.7116  0.6099
B  0.6742  0.0871  0.5010
B  0.2500  0.8115  0.4316
B  0.6738  0.2884  0.3901
B  0.8258  0.0871  0.5010
B  0.3732  0.7733  0.5005
B  0.6742  0.5871  0.9990
B  0.1272  0.8515  0.6080
B  0.8728  0.1485  0.3920
B  0.8728  0.6485  0.1080
B  0.2500  0.3115  0.0684
B  0.3728  0.3515  0.8920
B  0.8732  0.7267  0.0005
B  0.1272  0.3515  0.8920
B  0.8732  0.2267  0.4995
B  0.1742  0.9129  0.4990
B  0.7500  0.3141  0.4990
B  0.7500  0.8141  0.0010
B  0.1742  0.4129  0.0010
B  0.6272  0.6485  0.1080
Br  0.7500  0.4616  0.5601
Br  0.4160  0.0945  0.8262
Br  0.2500  0.5384  0.4399
Br  0.2500  0.0384  0.0601
Br  0.4829  0.7742  0.9395
Br  0.0840  0.5945  0.6738
Br  0.9160  0.4055  0.3262
Br  0.9829  0.2258  0.0605
Br  0.5171  0.2258  0.0605
Br  0.4160  0.5945  0.6738
Br  0.5171  0.7258  0.4395
Br  0.5840  0.9055  0.1738
Br  0.7500  0.6897  0.7919
Br  0.2500  0.3103  0.2081
Br  0.0840  0.0945  0.8262
Br  0.7500  0.1897  0.7081
Br  0.7500  0.9616  0.9399
Br  0.5840  0.4055  0.3262
Br  0.9160  0.9055  0.1738
Br  0.0171  0.2742  0.5605
Br  0.9829  0.7258  0.4395
Br  0.2500  0.8103  0.2919
Br  0.4829  0.2742  0.5605
Br  0.0171  0.7742  0.9395
C  0.7500  0.0737  0.3977
C  0.2500  0.9263  0.6023
C  0.7500  0.5737  0.1023
C  0.2500  0.4263  0.8977
Ag  0.5000  0.0000  0.0000
Ag  0.0000  0.5000  0.5000
Ag  0.5000  0.5000  0.5000
Ag  0.0000  0.0000  0.0000

Computed properties:
E_tot: -4.950 eV/atom

No. 7
CdAgB2Br after structural relaxation, computed with PBE-GGA.

Lattice parameters (Å, degrees): 4.3303 4.3303 5.4410 90.00 90.00 90.00
Sites, in units of the cell vectors:
Br  0.0000  0.0000  0.0000
B  0.5000  0.0000  0.0000
B  0.0000  0.5000  0.0000
Ag  0.0000  0.0000  0.5000
Cd  0.5000  0.5000  0.5000

Computed properties:
Raw formation energy: 1897 meV/atom

No. 8
Cs2AgBBr after structural relaxation, computed with PBE-GGA.

Lattice parameters (Å, degrees): 6.9669 4.8409 6.9669 90.00 90.00 90.00
Each line ends with the local moment (μB).
Sites, in units of the cell vectors:
Br  0.0000  0.0000  0.0000  0.08
Ag  0.5000  0.5000  0.5000  0.00
Cs  0.5000  0.0000  0.0000  0.01
Cs  0.0000  0.0000  0.5000  0.01
B  0.0000  0.5000  0.0000  0.35

Computed properties:
Raw formation energy: 482 meV/atom

No. 9
CsAgB2Br8 after structural relaxation, computed with PBE-GGA.

Lattice parameters (Å, degrees): 6.5890 6.5890 10.1804 90.00 90.00 120.00
Sites, in units of the cell vectors:
Br  0.6667  0.3333  0.0625
Br  0.3372  0.9626  0.6746
Br  0.6628  0.0374  0.3254
Br  0.0374  0.3746  0.6746
Br  0.3746  0.3372  0.3254
Br  0.3333  0.6667  0.9375
Br  0.6254  0.6628  0.6746
Br  0.9626  0.6254  0.3254
B  0.6667  0.3333  0.2626
B  0.3333  0.6667  0.7374
Ag  0.0000  0.0000  0.5000
Cs  0.0000  0.0000  0.0000

Computed properties:
Raw formation energy: -680 meV/atom

No. 10
InAg2BBr after structural relaxation, computed with PBE-GGA.

Lattice parameters (Å, degrees): 4.7243 4.4959 4.7243 90.00 90.00 90.00
Sites, in units of the cell vectors:
Ag  0.5000  0.0000  0.0000
Ag  0.0000  0.0000  0.5000
In  0.0000  0.5000  0.0000
Br  0.5000  0.5000  0.5000
B  0.0000  0.0000  0.0000

Computed properties:
Raw formation energy: 390 meV/atom

No. 11
NaAgB2Br after structural relaxation, computed with PBE-GGA.

Lattice parameters (Å, degrees): 4.4496 5.1509 4.4496 90.00 90.00 90.00
Sites, in units of the cell vectors:
B  0.0000  0.0000  0.5000
B  0.5000  0.0000  0.0000
Br  0.0000  0.0000  0.0000
Na  0.0000  0.5000  0.0000
Ag  0.5000  0.5000  0.5000

Computed properties:
Raw formation energy: 1725 meV/atom

No. 12
NiAgBBr2 after structural relaxation, computed with PBE-GGA.

Lattice parameters (Å, degrees): 5.4815 4.1383 5.4815 90.00 90.00 90.00
Each line ends with the local moment (μB).
Sites, in units of the cell vectors:
Br  0.5000  0.0000  0.0000  -0.02
Br  0.0000  0.0000  0.5000  -0.02
B  0.0000  0.5000  0.0000  0.00
Ag  0.0000  0.0000  0.0000  -0.01
Ni  0.5000  0.5000  0.5000  -0.84

Computed properties:
Raw formation energy: 1210 meV/atom

Record-wise total magnetization values, in μB per formula unit: 0.9 0.0 0.0 0.1 1.3 0.0 0.0 1.2 0.0 0.0 0.0 0.8
Record-wise density values, in g/cm³: 7.3 5.0 4.3 4.8 3.5 2.4 5.2 3.3 3.9 7.0 3.8 4.5